The following is a DFT calculation (GGA+U) of a geometry-optimized Ac2WO6 structure.

Summary:
* ΔE to the lowest computed polymorph: 0 meV per atom
* D(E_F): 0.00 states/eV/cell

Structure (CIF):
```
data_Ac2WO6
_space_group_name_H-M_alt 'P 1 21/c 1'
_space_group_IT_number 14
_space_group_name_Hall '-P 2ybc'
_cell_length_a 5.817
_cell_length_b 6.432
_cell_length_c 9.663
_cell_angle_alpha 90.00
_cell_angle_beta 121.83
_cell_angle_gamma 90.00
loop_
_atom_site_label
_atom_site_fract_x
_atom_site_fract_y
_atom_site_fract_z
_atom_site_occupancy
Ac1 0.213 0.078 0.246 1
W1 0.500 0.000 0.000 1
O1 0.174 0.151 0.954 1
O2 0.282 0.745 0.916 1
O3 0.421 0.069 0.783 1
```